The following is a SCAN calculation of a crystal of Ca2MnZn relaxed with PBEsol, from the Alexandria database.

Results
E_tot ... -12.82 eV/atom
Formation energy ... -0.05 eV per atom
M_tot ... 3.8 μB per formula unit

Lattice parameters (Å, degrees): 4.3654 4.1148 11.1633 90.00 90.00 90.00
Closest atoms and distances in Å follow each position.
Space group Amm2 (No. 38)
Asymmetric unit:
Ca: 0.0000 0.0000 0.0000 (multiplicity 2)  3 Zn 3.10-3.26, 4 Mn 3.18
Ca: 0.5000 0.0000 0.2964 (multiplicity 2)  3 Mn 3.06-3.31, 4 Zn 3.16
Mn: 0.5000 0.0000 0.5933 (multiplicity 2)  2 Zn 2.53
Zn: 0.0000 0.0000 0.7078 (multiplicity 2)  2 Mn 2.53